#w
A relaxed CaMnOs2 crystal. Source: Alexandria via LeMat-Bulk, functional PBE-GGA.

a = 4.975 Å, b = 4.975 Å, c = 5.233 Å
α = 77.94°, β = 77.94°, γ = 33.86°
Each line ends with the local moment (μB).
Element x y z (fractional)
Os  0.000  0.000  0.975  0.16
Ca  0.496  0.496  0.488  0.01
Os  0.728  0.728  0.842  -0.19
Mn  0.275  0.275  0.195  2.93

---

#x
A relaxed CaMnOs2 crystal. Source: Alexandria via LeMat-Bulk, functional PBE-GGA.

a = 5.543 Å, b = 5.543 Å, c = 4.662 Å
α = 66.06°, β = 66.06°, γ = 29.49°
Each line ends with the local moment (μB).
Element x y z (fractional)
Mn  0.250  0.250  0.250  2.28
Ca  0.750  0.750  0.750  -0.03
Os  0.533  0.533  0.464  -0.11
Os  0.967  0.967  0.036  -0.11

---

Winner for stability: #x

---

#w
A relaxed CaMnOs2 crystal. Source: Alexandria via LeMat-Bulk, functional PBE-GGA.

a = 5.580 Å, b = 5.580 Å, c = 5.580 Å
α = 149.34°, β = 129.95°, γ = 59.84°
Each line ends with the local moment (μB).
Element x y z (fractional)
Mn  0.224  0.724  0.500  3.37
Os  0.777  0.277  0.500  -0.15
Os  0.996  0.996  0.000  0.00
Ca  0.502  0.502  0.000  0.00

---

#x
A relaxed CaMnOs2 crystal. Source: Alexandria via LeMat-Bulk, functional PBE-GGA.

a = 4.363 Å, b = 2.823 Å, c = 5.728 Å
α = 75.87°, β = 90.00°, γ = 90.00°
Each line ends with the local moment (μB).
Element x y z (fractional)
Os  0.000  0.801  0.026  -0.07
Mn  0.500  0.920  0.783  2.91
Os  0.500  0.231  0.165  -0.17
Ca  0.000  0.548  0.525  0.01

---

#y
A relaxed CaMnOs2 crystal. Source: Alexandria via LeMat-Bulk, functional PBE-GGA.

a = 9.369 Å, b = 9.369 Å, c = 9.369 Å
α = 17.19°, β = 17.19°, γ = 17.19°
Each line ends with the local moment (μB).
Element x y z (fractional)
Os  0.011  0.011  0.011  -0.16
Ca  0.250  0.250  0.250  -0.02
Mn  0.750  0.750  0.750  2.02
Os  0.489  0.489  0.489  -0.16

---

#z
A relaxed CaMnOs2 crystal. Source: Alexandria via LeMat-Bulk, functional PBE-GGA.

a = 2.978 Å, b = 4.646 Å, c = 4.664 Å
α = 90.00°, β = 90.00°, γ = 90.00°
Each line ends with the local moment (μB).
Element x y z (fractional)
Os  0.000  0.000  0.000  -0.02
Os  0.500  0.500  0.000  -0.10
Mn  0.000  0.500  0.500  3.38
Ca  0.500  0.000  0.500  -0.01

---

Winner for stability: #x